Entry 1:
# PBE Er3AlSi2Ni9, relaxed
data_Er3AlSi2Ni9
_chemical_formula_sum 'Er3 Al1 Si2 Ni9'
_space_group_name_H-M_alt 'P -3 m 1'
_space_group_IT_number 164
_space_group_name_Hall '-P 3 2"'
_cell_length_a 5.7944
_cell_length_b 5.7944
_cell_length_c 8.5126
_cell_angle_alpha 90.00
_cell_angle_beta 90.00
_cell_angle_gamma 120.00
loop_
_atom_site_label
_atom_site_type_symbol
_atom_site_fract_x
_atom_site_fract_y
_atom_site_fract_z
Er1 Er 0.0000 0.0000 0.0000
Er2 Er 0.3333 0.6667 0.6893
Al1 Al 0.0000 0.0000 0.5000
Si1 Si 0.3333 0.6667 0.1757
Ni1 Ni 0.0000 0.5000 0.0000
Ni2 Ni 0.1387 0.2774 0.2777
# **Formation energy (no corrections)**: -0.315 eV/atom



Entry 2:
# PBE LaHg3P, relaxed
data_LaHg3P
_chemical_formula_sum 'La1 Hg3 P1'
_space_group_name_H-M_alt 'P m -3 m'
_space_group_IT_number 221
_space_group_name_Hall '-P 4 2 3'
_cell_length_a 5.147
_cell_length_b 5.147
_cell_length_c 5.147
_cell_angle_alpha 90.00
_cell_angle_beta 90.00
_cell_angle_gamma 90.00
loop_
_atom_site_label
_atom_site_type_symbol
_atom_site_fract_x
_atom_site_fract_y
_atom_site_fract_z
La1 La 0.000 0.000 0.000
Hg1 Hg 0.000 0.500 0.500
P1 P 0.500 0.500 0.500
# **E above lowest polymorph**: 0 meV/atom



Entry 3:
# PBE SmThSe2, relaxed
data_SmThSe2
_chemical_formula_sum 'Sm3 Th3 Se6'
_space_group_name_H-M_alt 'R 3 m'
_space_group_IT_number 160
_space_group_name_Hall 'R 3 -2"'
_cell_length_a 4.0189
_cell_length_b 4.0189
_cell_length_c 22.6276
_cell_angle_alpha 90.00
_cell_angle_beta 90.00
_cell_angle_gamma 120.00
loop_
_atom_site_label
_atom_site_type_symbol
_atom_site_fract_x
_atom_site_fract_y
_atom_site_fract_z
Sm1 Sm 0.0000 0.0000 0.0000
Th1 Th 0.0000 0.0000 0.1722
Se1 Se 0.0000 0.0000 0.4170
Se2 Se 0.0000 0.0000 0.5884
# **Formation energy (no corrections)**: -1.620 eV/atom
# **E above lowest polymorph**: 50 meV/atom



Entry 4:
# PBE GeHIr2, relaxed
data_GeHIr2
_chemical_formula_sum 'Ge4 H4 Ir8'
_space_group_name_H-M_alt 'I -4 2 d'
_space_group_IT_number 122
_space_group_name_Hall 'I -4 2bw'
_cell_length_a 5.071
_cell_length_b 5.071
_cell_length_c 8.336
_cell_angle_alpha 90.00
_cell_angle_beta 90.00
_cell_angle_gamma 90.00
loop_
_atom_site_label
_atom_site_type_symbol
_atom_site_fract_x
_atom_site_fract_y
_atom_site_fract_z
Ge1 Ge 0.000 0.000 0.000
H1 H 0.000 0.000 0.500
Ir1 Ir 0.135 0.250 0.625
# **E above lowest polymorph**: 0 meV/atom



Entry 5:
# PBE TbZrCuAu, relaxed
data_TbZrCuAu
_chemical_formula_sum 'Tb4 Zr4 Cu4 Au4'
_space_group_name_H-M_alt 'F -4 3 m'
_space_group_IT_number 216
_space_group_name_Hall 'F -4 2 3'
_cell_length_a 6.930
_cell_length_b 6.930
_cell_length_c 6.930
_cell_angle_alpha 90.00
_cell_angle_beta 90.00
_cell_angle_gamma 90.00
loop_
_atom_site_label
_atom_site_type_symbol
_atom_site_fract_x
_atom_site_fract_y
_atom_site_fract_z
Tb1 Tb 0.000 0.000 0.000
Zr1 Zr 0.000 0.000 0.500
Cu1 Cu 0.250 0.250 0.750
Au1 Au 0.250 0.250 0.250
# **Uncorrected energy**: -5.47 eV per atom



Entry 6:
# PBE AgMoRh2, relaxed
data_AgMoRh2
_chemical_formula_sum 'Ag2 Mo2 Rh4'
_space_group_name_H-M_alt 'C m m m'
_space_group_IT_number 65
_space_group_name_Hall '-C 2 2'
_cell_length_a 2.943
_cell_length_b 4.585
_cell_length_c 9.274
_cell_angle_alpha 90.00
_cell_angle_beta 90.00
_cell_angle_gamma 90.00
loop_
_atom_site_label
_atom_site_type_symbol
_atom_site_fract_x
_atom_site_fract_y
_atom_site_fract_z
Ag1 Ag 0.000 0.000 0.000
Mo1 Mo 0.000 0.000 0.500
Rh1 Rh 0.000 0.500 0.264
# **E above lowest polymorph**: 155 meV/atom



Entry 7:
# PBE Sr2MgBi2, relaxed
data_Sr2MgBi2
_chemical_formula_sum 'Sr4 Mg2 Bi4'
_space_group_name_H-M_alt 'P 4/m b m'
_space_group_IT_number 127
_space_group_name_Hall '-P 4 2ab'
_cell_length_a 8.379
_cell_length_b 8.379
_cell_length_c 4.956
_cell_angle_alpha 90.00
_cell_angle_beta 90.00
_cell_angle_gamma 90.00
loop_
_atom_site_label
_atom_site_type_symbol
_atom_site_fract_x
_atom_site_fract_y
_atom_site_fract_z
Sr1 Sr 0.168 0.332 0.000
Mg1 Mg 0.000 0.000 0.500
Bi1 Bi 0.138 0.638 0.500
# **Uncorrected energy**: -3.14 eV per atom



Entry 8:
# PBE Al2CoBr, relaxed
data_Al2CoBr
_chemical_formula_sum 'Al8 Co4 Br4'
_space_group_name_H-M_alt 'F m -3 m'
_space_group_IT_number 225
_space_group_name_Hall '-F 4 2 3'
_cell_length_a 6.466
_cell_length_b 6.466
_cell_length_c 6.466
_cell_angle_alpha 90.00
_cell_angle_beta 90.00
_cell_angle_gamma 90.00
loop_
_atom_site_label
_atom_site_type_symbol
_atom_site_fract_x
_atom_site_fract_y
_atom_site_fract_z
Al1 Al 0.250 0.250 0.250
Co1 Co 0.000 0.000 0.000
Br1 Br 0.000 0.000 0.500
# **Formation energy (no corrections)**: 0.690 eV/atom
# **E above lowest polymorph**: 902 meV/atom



Entry 9:
# PBE SrSmSi4, relaxed
data_SrSmSi4
_chemical_formula_sum 'Sr4 Sm4 Si16'
_space_group_name_H-M_alt 'P b a m'
_space_group_IT_number 55
_space_group_name_Hall '-P 2 2ab'
_cell_length_a 7.660
_cell_length_b 16.185
_cell_length_c 4.427
_cell_angle_alpha 90.00
_cell_angle_beta 90.00
_cell_angle_gamma 90.00
loop_
_atom_site_label
_atom_site_type_symbol
_atom_site_fract_x
_atom_site_fract_y
_atom_site_fract_z
Sr1 Sr 0.128 0.158 0.000
Sm1 Sm 0.133 0.412 0.000
Si1 Si 0.027 0.691 0.500
Si2 Si 0.115 0.950 0.500
Si3 Si 0.132 0.543 0.500
Si4 Si 0.215 0.805 0.500
# **Formation energy (no corrections)**: -0.371 eV/atom



Entry 10:
# PBE NiAs2W, relaxed
data_NiAs2W
_chemical_formula_sum 'Ni2 As4 W2'
_space_group_name_H-M_alt 'I -4 m 2'
_space_group_IT_number 119
_space_group_name_Hall 'I -4 -2'
_cell_length_a 3.657
_cell_length_b 3.657
_cell_length_c 9.038
_cell_angle_alpha 90.00
_cell_angle_beta 90.00
_cell_angle_gamma 90.00
loop_
_atom_site_label
_atom_site_type_symbol
_atom_site_fract_x
_atom_site_fract_y
_atom_site_fract_z
Ni1 Ni 0.000 0.000 0.000
As1 As 0.000 0.000 0.500
As2 As 0.000 0.500 0.250
W1 W 0.000 0.500 0.750
# **E above lowest polymorph**: 313 meV/atom



Entry 11:
# PBE Pm2Cu3P4Pd, relaxed
data_Pm2Cu3P4Pd
_chemical_formula_sum 'Pm2 Cu3 P4 Pd1'
_space_group_name_H-M_alt 'P -4 m 2'
_space_group_IT_number 115
_space_group_name_Hall 'P -4 -2'
_cell_length_a 4.126
_cell_length_b 4.126
_cell_length_c 9.701
_cell_angle_alpha 90.00
_cell_angle_beta 90.00
_cell_angle_gamma 90.00
loop_
_atom_site_label
_atom_site_type_symbol
_atom_site_fract_x
_atom_site_fract_y
_atom_site_fract_z
Pm1 Pm 0.000 0.500 0.248
Cu1 Cu 0.000 0.500 0.878
Cu2 Cu 0.500 0.500 0.500
P1 P 0.000 0.000 0.000
P2 P 0.000 0.500 0.641
P3 P 0.500 0.500 0.000
Pd1 Pd 0.000 0.000 0.500
# **Uncorrected energy**: -5.59 eV per atom



Entry 12:
# PBE TbNd2In2, relaxed
data_TbNd2In2
_chemical_formula_sum 'Tb2 Nd4 In4'
_space_group_name_H-M_alt 'I m m m'
_space_group_IT_number 71
_space_group_name_Hall '-I 2 2'
_cell_length_a 5.035
_cell_length_b 7.095
_cell_length_c 8.503
_cell_angle_alpha 90.00
_cell_angle_beta 90.00
_cell_angle_gamma 90.00
loop_
_atom_site_label
_atom_site_type_symbol
_atom_site_fract_x
_atom_site_fract_y
_atom_site_fract_z
Tb1 Tb 0.000 0.000 0.000
Nd1 Nd 0.000 0.500 0.194
In1 In 0.000 0.211 0.500
# **E above lowest polymorph**: 0 meV/atom



| no. | DOS(E_F) (states/eV/f.u.) |
| --- | --- |
| 1 | 8.2 |
| 2 | 5.1 |
| 3 | 2.9 |
| 4 | 2.3 |
| 5 | 4.7 |
| 6 | 2.5 |
| 7 | 2.6 |
| 8 | 4.8 |
| 9 | 2.4 |
| 10 | 3.5 |
| 11 | 1.8 |
| 12 | 4.7 |